Sr3BiW, single point on PBEsol structure, DFT meta-GGA SCAN; energy relative to the elements = 0.826 eV per atom
1.0
5.636 0.000 0.000
0.000 5.636 0.000
0.000 0.000 5.636
Sr Bi W
3 1 1
direct
0.000 0.000 0.500 Sr
0.000 0.500 0.000 Sr
0.500 0.000 0.000 Sr
0.500 0.500 0.500 Bi
0.000 0.000 0.000 W